(1)
## K2ThAlSe5 (PBE)

Data for K2ThAlSe5 after structural relaxation.

```
K2ThAlSe5
1.0
-2.5157 0.1345 -3.1671
-5.5708 -5.7541 6.7662
-6.0062 12.0252 5.2815
K Th Al Se
4 2 2 10
Direct
0.8773 0.7546 0.8277
0.1260 0.2521 0.6886
0.1227 0.2454 0.3277
0.8740 0.7479 0.1886
0.7974 0.5948 0.5288
0.2026 0.4052 0.0288
0.5669 0.1339 0.9218
0.4331 0.8661 0.4218
0.3401 0.6801 0.0085
0.6829 0.3658 0.8803
0.5069 0.0137 0.7829
0.3045 0.6091 0.6663
0.9482 0.8964 0.5190
0.6599 0.3199 0.5085
0.3171 0.6342 0.3803
0.4931 0.9863 0.2829
0.6955 0.3909 0.1663
0.0518 0.1036 0.0190
```

Output
The calculated volume comes out at 33.40 Å³/atom. As for the uncorrected formation energy: -1.20 eV/atom. Its total energy is -83.1 eV/cell. For the density, the calculation gives 4.04 g/cm³.


(2)
## KAl2TlSe (PBE)

Data for KAl2TlSe after structural relaxation.

```
KAl2TlSe
1.0
-4.8197 -1.9696 -1.2192
2.5662 -4.0253 -3.6416
0.3772 -3.4443 4.0730
Tl K Se Al
1 1 1 2
Direct
0.0000 0.0000 0.0000
0.5000 0.5000 0.5000
0.0000 0.5000 0.0000
0.0000 0.0000 0.5000
0.5000 0.0000 0.0000
```

Output
The calculated volume comes out at 34.34 Å³/atom. As for the uncorrected formation energy: 0.32 eV/atom. Its total energy is -12.8 eV/cell. For the density, the calculation gives 3.64 g/cm³.


(3)
## K2TmAlSe4 (PBE)

Data for K2TmAlSe4 after structural relaxation.

```
K2TmAlSe4
1.0
-8.1545 0.0594 2.1775
2.0263 -3.3670 7.4698
3.8411 7.1731 -2.7450
K Tm Al Se
4 2 2 8
Direct
0.5000 0.0000 0.0000
0.5000 0.0000 0.5000
0.0000 0.0000 0.5000
0.5000 0.5000 0.0000
0.0000 0.5000 0.0000
0.0000 0.5000 0.5000
0.5000 0.5000 0.5000
0.0000 0.0000 0.0000
0.2047 0.7502 0.9775
0.7498 0.2953 0.5225
0.2502 0.7047 0.4775
0.7953 0.2498 0.0225
0.7603 0.7395 0.9532
0.7605 0.7397 0.5468
0.2395 0.2603 0.4532
0.2397 0.2605 0.0468
```

Output
The calculated volume comes out at 26.46 Å³/atom. As for the uncorrected formation energy: -1.27 eV/atom. Its total energy is -69.0 eV/cell. For the density, the calculation gives 4.63 g/cm³.


(4)
## K3Tm2AlSe6 (PBE)

Data for K3Tm2AlSe6 after structural relaxation.

```
K3Tm2AlSe6
1.0
7.0587 -0.0019 -0.0026
-3.5293 6.1131 -0.0026
-1.1800 -2.0431 7.6554
K Tm Al Se
3 2 1 6
Direct
0.1714 0.8286 0.5000
0.8286 0.1714 0.5000
0.5000 0.5000 0.5000
0.3339 0.6661 0.0000
0.6661 0.3339 0.0000
0.0000 0.0000 0.0000
0.9351 0.6226 0.8052
0.7535 0.7535 0.1960
0.0649 0.3774 0.1948
0.6226 0.9351 0.8052
0.2465 0.2465 0.8040
0.3774 0.0649 0.1948
```

Output
The calculated volume comes out at 27.52 Å³/atom. As for the uncorrected formation energy: -1.47 eV/atom. Its total energy is -54.6 eV/cell. For the density, the calculation gives 4.81 g/cm³.


(5)
## K2U2AlSe6 (PBE)

Data for K2U2AlSe6 after structural relaxation.

```
K2U2AlSe6
1.0
-2.1672 2.7866 -6.0961
-4.6061 -0.8206 5.2664
4.0524 6.5045 2.9348
K U Al Se
2 2 1 6
Direct
0.8299 0.1701 0.0000
0.1701 0.8299 0.0000
0.3330 0.6670 0.5000
0.6670 0.3330 0.5000
0.0000 0.0000 0.5000
0.7612 0.7612 0.6895
0.0680 0.3806 0.6951
0.2388 0.2388 0.3105
0.3806 0.0680 0.6951
0.9320 0.6194 0.3049
0.6194 0.9320 0.3049
```

Output
The calculated volume comes out at 30.82 Å³/atom. As for the uncorrected formation energy: -1.11 eV/atom. Its total energy is -61.7 eV/cell. For the density, the calculation gives 5.17 g/cm³.


(6)
## K2AlVSe4 (PBE)

Data for K2AlVSe4 after structural relaxation.

```
K2AlVSe4
1.0
6.0452 0.0000 0.0000
3.0226 7.0035 0.0000
3.0226 0.0000 11.8027
K Al V Se
4 2 2 8
Direct
0.1809 0.0000 0.6382
0.8191 0.0000 0.3618
0.5691 0.5000 0.8618
0.9309 0.5000 0.1382
0.7500 0.5000 0.5000
0.0000 0.0000 0.0000
0.2500 0.5000 0.5000
0.5000 0.0000 0.0000
0.2887 0.8021 0.1098
0.2006 0.1979 0.8902
0.9092 0.8021 0.8902
0.6014 0.1979 0.1098
0.4613 0.6979 0.3902
0.5494 0.3021 0.6098
0.8408 0.6979 0.6098
0.1486 0.3021 0.3902
```

Output
The calculated volume comes out at 31.23 Å³/atom. As for the uncorrected formation energy: -0.98 eV/atom. Its total energy is -73.6 eV/cell. For the density, the calculation gives 3.14 g/cm³.


(7)
## K3Y2AlSe6 (PBE)

Data for K3Y2AlSe6 after structural relaxation.

```
K3Y2AlSe6
1.0
-2.0727 -5.0077 -4.6250
-2.3700 -0.1504 6.7174
-4.4934 6.0690 -2.7168
K Y Al Se
3 2 1 6
Direct
0.1717 0.8283 0.5000
0.8283 0.1717 0.5000
0.5000 0.5000 0.5000
0.3339 0.6661 0.0000
0.6661 0.3339 0.0000
0.0000 0.0000 0.0000
0.9346 0.6252 0.8036
0.7575 0.7575 0.1973
0.0654 0.3748 0.1964
0.6252 0.9346 0.8036
0.2425 0.2425 0.8027
0.3748 0.0654 0.1964
```

Output
The calculated volume comes out at 28.06 Å³/atom. As for the uncorrected formation energy: -1.48 eV/atom. Its total energy is -58.7 eV/cell. For the density, the calculation gives 3.93 g/cm³.


(8)
## K2ZrAlSe (PBE)

Data for K2ZrAlSe after structural relaxation.

```
K2ZrAlSe
1.0
-4.1335 2.1633 3.9837
-3.6126 -2.8589 -2.1959
1.3008 -4.5985 3.8468
K Se Zr Al
2 1 1 1
Direct
0.0000 0.0000 0.5000
0.5000 0.0000 0.0000
0.0000 0.0000 0.0000
0.5000 0.5000 0.5000
0.0000 0.5000 0.0000
```

Output
The calculated volume comes out at 38.42 Å³/atom. As for the uncorrected formation energy: 0.63 eV/atom. Its total energy is -14.8 eV/cell. For the density, the calculation gives 2.38 g/cm³.


(9)
## K3Zr3AlSe8 (PBE)

Data for K3Zr3AlSe8 after structural relaxation.

```
K3Zr3AlSe8
1.0
7.7807 -0.0020 -0.0012
-3.8921 6.7443 -0.0275
0.0000 -4.4645 7.9028
K Zr Al Se
3 3 1 8
Direct
0.0000 0.0000 0.0000
0.0000 0.5000 0.0000
0.5000 0.5000 0.0000
0.5000 0.0000 0.5000
0.5000 0.5000 0.5000
0.0000 0.5000 0.5000
0.0000 0.0000 0.5000
0.2658 0.5313 0.2970
0.7342 0.4687 0.7030
0.7756 0.5513 0.3099
0.2244 0.4487 0.6901
0.7757 0.0341 0.3098
0.2243 0.9659 0.6902
0.2586 0.0343 0.3099
0.7413 0.9657 0.6901
```

Output
The calculated volume comes out at 27.58 Å³/atom. As for the uncorrected formation energy: -1.27 eV/atom. Its total energy is -79.6 eV/cell. For the density, the calculation gives 4.21 g/cm³.


(10)
## KAlSi (PBE)

Data for KAlSi after structural relaxation.

```
KAlSi
1.0
-1.9794 -6.0154 -3.2009
5.6976 -1.6218 0.8398
0.1032 -2.9035 3.0634
K Si Al
2 2 2
Direct
0.9440 0.9466 0.4093
0.6658 0.3813 0.8789
0.2680 0.3700 0.6036
0.4644 0.7683 0.2228
0.1487 0.5394 0.0787
0.3622 0.9624 0.6737
```

Output
The calculated volume comes out at 26.98 Å³/atom. As for the uncorrected formation energy: 0.04 eV/atom. Its total energy is -20.3 eV/cell. For the density, the calculation gives 1.93 g/cm³.


(11)
## KAlSi (PBE)

Data for KAlSi after structural relaxation.

```
KAlSi
1.0
-0.9792 2.2113 4.0160
-3.3746 -2.3206 -2.2812
1.6526 -6.1021 3.7629
K Si Al
2 2 2
Direct
0.6667 0.3333 0.0000
0.6667 0.3333 0.5000
0.0000 0.0000 0.3104
0.0000 0.0000 0.6896
0.3333 0.6667 0.2063
0.3333 0.6667 0.7937
```

Output
The calculated volume comes out at 23.34 Å³/atom. As for the uncorrected formation energy: 0.25 eV/atom. Its total energy is -19.0 eV/cell. For the density, the calculation gives 2.23 g/cm³.


(12)
## K2AlSi (PBE)

Data for K2AlSi after structural relaxation.

```
K2AlSi
1.0
5.4125 -0.0158 0.0000
0.0714 5.4126 0.0000
-2.7420 -2.6984 3.8292
K Si Al
2 1 1
Direct
0.0000 0.0000 0.0000
0.2500 0.7500 0.5000
0.5000 0.5000 0.9999
0.7500 0.2500 0.5001
```

Output
The calculated volume comes out at 28.05 Å³/atom. As for the uncorrected formation energy: 0.43 eV/atom. Its total energy is -9.6 eV/cell. For the density, the calculation gives 1.97 g/cm³.


(13)
## K2AlSi (PBE)

Data for K2AlSi after structural relaxation.

```
K2AlSi
1.0
9.8656 -0.0150 -0.0089
8.9461 4.1592 -0.0089
8.9461 1.9708 3.6626
K Si Al
2 1 1
Direct
0.0311 0.0311 0.0311
0.2189 0.2189 0.2189
0.4583 0.4583 0.4583
0.7917 0.7917 0.7917
```

Output
The calculated volume comes out at 37.78 Å³/atom. As for the uncorrected formation energy: -0.01 eV/atom. Its total energy is -11.4 eV/cell. For the density, the calculation gives 1.46 g/cm³.


(14)
## KAlSi (PBE)

Data for KAlSi after structural relaxation.

```
KAlSi
1.0
-8.7869 -7.6526 0.9101
3.4585 -2.6822 10.8372
-4.6706 -2.7152 7.1209
K Si Al
4 4 4
Direct
0.7995 0.5000 0.0000
0.2005 0.5000 0.0000
0.5000 0.7995 0.0000
0.5000 0.2005 0.0000
0.2831 0.0000 0.0000
0.7169 0.0000 0.0000
0.0000 0.2831 0.0000
0.0000 0.7169 0.0000
0.8758 0.8758 0.0000
0.1242 0.1242 0.0000
0.1242 0.8758 0.0000
0.8758 0.1242 0.0000
```

Output
The calculated volume comes out at 38.76 Å³/atom. As for the uncorrected formation energy: 0.26 eV/atom. Its total energy is -37.9 eV/cell. For the density, the calculation gives 1.34 g/cm³.


(15)
## KAlSi (PBE)

Data for KAlSi after structural relaxation.

```
KAlSi
1.0
3.6755 -2.1220 0.0000
0.0000 4.2441 0.0000
0.0000 0.0000 5.5291
K Si Al
1 1 1
Direct
0.6667 0.3333 0.0000
0.0000 0.0000 0.5000
0.3333 0.6667 0.5000
```

Output
The calculated volume comes out at 28.75 Å³/atom. As for the uncorrected formation energy: -0.04 eV/atom. Its total energy is -10.4 eV/cell. For the density, the calculation gives 1.81 g/cm³.


(16)
## KAlSi (PBE)

Data for KAlSi after structural relaxation.

```
KAlSi
1.0
-0.9547 6.7380 12.7919
-0.2345 -0.0741 7.5196
3.7388 -1.7797 -6.2816
K Si Al
2 2 2
Direct
0.7961 0.7828 0.2172
0.2039 0.2172 0.7828
0.6962 0.1726 0.8274
0.3038 0.8274 0.1726
0.3610 0.3627 0.6373
0.6390 0.6373 0.3627
```

Output
The calculated volume comes out at 29.20 Å³/atom. As for the uncorrected formation energy: 0.06 eV/atom. Its total energy is -20.1 eV/cell. For the density, the calculation gives 1.79 g/cm³.


(17)
## K3AlSi (PBE)

Data for K3AlSi after structural relaxation.

```
K3AlSi
1.0
6.4038 0.0000 0.0000
0.0000 6.4038 0.0000
0.0000 0.0000 6.4038
K Si Al
3 1 1
Direct
0.0000 0.5000 0.0000
0.0000 0.0000 0.5000
0.5000 0.0000 0.0000
0.0000 0.0000 0.0000
0.5000 0.5000 0.5000
```

Output
The calculated volume comes out at 52.52 Å³/atom. As for the uncorrected formation energy: 0.71 eV/atom. Its total energy is -8.9 eV/cell. For the density, the calculation gives 1.09 g/cm³.


(18)
## KAl2Si (PBE)

Data for KAl2Si after structural relaxation.

```
KAl2Si
1.0
5.2479 0.0000 0.0000
0.0000 5.2479 0.0000
2.6239 2.6239 8.6713
K Si Al
2 2 4
Direct
0.0000 0.0000 0.0000
0.7500 0.2500 0.5000
0.5000 0.5000 0.0000
0.2500 0.7500 0.5000
0.3756 0.1250 0.2500
0.3744 0.6250 0.2500
0.3750 0.6244 0.7500
0.8750 0.6256 0.7500
```

Output
The calculated volume comes out at 29.85 Å³/atom. As for the uncorrected formation energy: 0.30 eV/atom. Its total energy is -25.6 eV/cell. For the density, the calculation gives 1.68 g/cm³.


(19)
## K2AlSi (PBE)

Data for K2AlSi after structural relaxation.

```
K2AlSi
1.0
-2.2128 2.2423 -2.9035
1.3067 -3.7197 -3.8685
-4.3330 -5.0221 -0.5762
K Si Al
2 1 1
Direct
0.0000 0.9732 0.9288
0.5000 0.2688 0.3376
0.0000 0.6748 0.5231
0.5000 0.5832 0.7105
```

Output
The calculated volume comes out at 35.84 Å³/atom. As for the uncorrected formation energy: 0.13 eV/atom. Its total energy is -10.9 eV/cell. For the density, the calculation gives 1.54 g/cm³.


(20)
## KAlSi (PBE)

Data for KAlSi after structural relaxation.

```
KAlSi
1.0
2.4156 0.0000 12.3538
-1.2078 2.0919 12.3538
-1.2078 -2.0919 12.3538
K Si Al
2 2 2
Direct
0.6057 0.6057 0.6057
0.3943 0.3943 0.3943
0.7877 0.7877 0.7877
0.2123 0.2123 0.2123
0.1421 0.1421 0.1421
0.8579 0.8579 0.8579
```

Output
The calculated volume comes out at 31.21 Å³/atom. As for the uncorrected formation energy: -0.02 eV/atom. Its total energy is -20.6 eV/cell. For the density, the calculation gives 1.67 g/cm³.